[1]
Entry from Alexandria via LeMat-Bulk: crystalline CaHfAlCu2 at its relaxed geometry (PBE).

The structure in POSCAR format:
```
CaHfAlCu2
1.0
4.681 0.000 0.000
0.000 4.681 0.000
0.000 0.000 5.447
Ca Hf Al Cu
1 1 1 2
direct
0.000 0.000 0.000
0.000 0.000 0.500
0.500 0.500 0.500
0.000 0.500 0.000
0.500 0.000 0.000
```

The space group is P4/mmm (123). The calculation puts the calculated formation energy at 1.485 eV per atom.

---

[2]
Entry from Alexandria via LeMat-Bulk: crystalline K3Ag2RhBr9 at its relaxed geometry (PBE).

The structure in POSCAR format:
```
K3Ag2RhBr9
1.0
7.601 0.000 0.000
-3.801 6.583 0.000
0.000 0.000 9.245
K Ag Rh Br
3 2 1 9
direct
0.000 0.000 0.000
0.333 0.667 0.677
0.667 0.333 0.323
0.333 0.667 0.170
0.667 0.333 0.830
0.000 0.000 0.500
0.000 0.500 0.000
0.157 0.314 0.342
0.157 0.843 0.342
0.314 0.157 0.658
0.500 0.000 0.000
0.500 0.500 0.000
0.686 0.843 0.342
0.843 0.157 0.658
0.843 0.686 0.658
```

The space group is P-3m1 (164).

---

[3]
Entry from Alexandria via LeMat-Bulk: crystalline Ca2Mg2Cd at its relaxed geometry (PBE).

The structure in POSCAR format:
```
Ca2Mg2Cd
1.0
7.740 0.000 0.000
0.000 7.740 0.000
0.000 0.000 5.009
Ca Mg Cd
4 4 2
direct
0.172 0.328 0.000
0.328 0.828 0.000
0.672 0.172 0.000
0.828 0.672 0.000
0.134 0.634 0.500
0.366 0.134 0.500
0.634 0.866 0.500
0.866 0.366 0.500
0.000 0.000 0.500
0.500 0.500 0.500
```

The space group is P4/mbm (127). The calculation puts the calculated formation energy at -0.081 eV per atom. For the distance to the lowest polymorph of the same formula, the calculation gives 0.041 eV/atom.

---

[4]
Entry from Alexandria via LeMat-Bulk: crystalline WBr2Cl at its relaxed geometry (PBE).

The structure in POSCAR format:
```
WBr2Cl
1.0
-1.563 2.479 6.944
1.563 -2.479 6.944
1.563 2.479 -6.944
W Br Cl
1 2 1
direct
0.000 0.000 0.000
0.148 0.648 0.500
0.499 0.499 0.000
0.862 0.362 0.500
```

The space group is Imm2 (44). For the distance to the lowest polymorph of the same formula, the calculation gives 0.296 eV/atom.

---

Number 1: DFT total energy -3.293 eV per atom. Number 2: DFT total energy -2.947 eV per atom. Number 3: DFT total energy -1.703 eV per atom. Number 4: DFT total energy -4.498 eV per atom.